## CoHg2IrRh (PBE)

Data for CoHg2IrRh after structural relaxation.

Summary:
* ΔE_f: 1.29 eV/atom
* total magnetic moment: 3.751 μB/f.u.
* energy: -3.4974 eV per atom

Cell lengths 5.133, 4.544, 5.133 Å; angles 90.00, 90.00, 90.00 degrees
Each line ends with the local moment (μB).
Positions (direct):
1 Co 0.000 0.500 0.000  2.26
2 Ir 0.000 0.000 0.000  0.50
3 Rh 0.500 0.500 0.500  0.94
4 Hg 0.000 0.000 0.500  0.00
5 Hg 0.500 0.000 0.000  0.01

***

## CoTcHg2Ir (PBE)

Data for CoTcHg2Ir after structural relaxation.

Summary:
* ΔE_f: 1.51 eV/atom
* total magnetic moment: 6.473 μB/f.u.
* energy: -3.8806 eV per atom

Cell lengths 5.145, 4.588, 5.145 Å; angles 90.00, 90.00, 90.00 degrees
Each line ends with the local moment (μB).
Positions (direct):
1 Ir 0.000 0.000 0.000  0.51
2 Co 0.000 0.500 0.000  2.13
3 Hg 0.000 0.000 0.500  -0.01
4 Hg 0.500 0.000 0.000  0.00
5 Tc 0.500 0.500 0.500  3.44

***

## Th6Co3HgIr2 (PBE)

Data for Th6Co3HgIr2 after structural relaxation.

Summary:
* ΔE_f: -0.45 eV/atom
* total magnetic moment: 0.000 μB/f.u.
* energy: -7.4401 eV per atom

Cell lengths 3.998, 8.459, 9.200 Å; angles 104.96, 102.55, 90.00 degrees
Positions (direct):
1 Th 0.320 0.917 0.639
2 Th 0.668 0.582 0.336
3 Th 0.680 0.083 0.361
4 Th 0.997 0.285 0.995
5 Th 0.003 0.715 0.005
6 Th 0.332 0.418 0.664
7 Co 0.500 0.500 0.000
8 Co 0.835 0.170 0.670
9 Co 0.165 0.830 0.330
10 Hg 0.500 0.000 0.000
11 Ir 0.836 0.674 0.673
12 Ir 0.164 0.326 0.327

***

## Tl2CoHgIr (PBE)

Data for Tl2CoHgIr after structural relaxation.

Summary:
* ΔE_f: 0.90 eV/atom
* total magnetic moment: 2.369 μB/f.u.
* energy: -3.3029 eV per atom

Cell lengths 5.236, 5.284, 5.236 Å; angles 90.00, 90.00, 90.00 degrees
Each line ends with the local moment (μB).
Positions (direct):
1 Tl 0.000 0.000 0.500  -0.01
2 Tl 0.500 0.000 0.000  0.00
3 Ir 0.000 0.000 0.000  0.03
4 Co 0.500 0.500 0.500  2.28
5 Hg 0.000 0.500 0.000  0.01

***

## ZnCoHg2Ir (PBE)

Data for ZnCoHg2Ir after structural relaxation.

Summary:
* ΔE_f: 1.01 eV/atom
* total magnetic moment: 2.418 μB/f.u.
* energy: -2.5629 eV per atom

Cell lengths 5.201, 4.759, 5.201 Å; angles 90.00, 90.00, 90.00 degrees
Each line ends with the local moment (μB).
Positions (direct):
1 Zn 0.000 0.500 0.000  -0.01
2 Ir 0.000 0.000 0.000  0.09
3 Co 0.500 0.500 0.500  2.23
4 Hg 0.000 0.000 0.500  -0.01
5 Hg 0.500 0.000 0.000  0.00

***

## KCoHg2 (PBE)

Data for KCoHg2 after structural relaxation.

Summary:
* relative energy among the computed polymorphs: 35.5 meV/atom
* ΔE_f: 0.30 eV/atom
* total magnetic moment: 1.569 μB/f.u.
* energy: -1.9054 eV per atom

Cell lengths 3.542, 3.292, 8.684 Å; angles 67.75, 90.00, 90.00 degrees
Each line ends with the local moment (μB).
Positions (direct):
1 Co 0.500 0.750 0.750  1.62
2 Hg 0.000 0.067 0.933  -0.01
3 Hg 0.000 0.433 0.567  -0.01
4 K 0.500 0.250 0.250  0.01

***

## KCoHg2 (PBE)

Data for KCoHg2 after structural relaxation.

Summary:
* relative energy among the computed polymorphs: 18.8 meV/atom
* ΔE_f: 0.28 eV/atom
* total magnetic moment: 1.187 μB/f.u.
* energy: -1.9221 eV per atom

Cell lengths 4.193, 3.258, 7.753 Å; angles 90.02, 90.00, 90.00 degrees
Each line ends with the local moment (μB).
Positions (direct):
1 Co 0.500 0.625 0.908  1.39
2 Hg 0.000 0.125 0.890  -0.04
3 Hg 0.500 0.125 0.198  -0.01
4 K 0.000 0.625 0.504  -0.01

***

## KCoHg2 (PBE)

Data for KCoHg2 after structural relaxation.

Summary:
* relative energy among the computed polymorphs: 141.2 meV/atom
* ΔE_f: 0.40 eV/atom
* total magnetic moment: 1.265 μB/f.u.
* energy: -1.7997 eV per atom

Cell lengths 6.199, 6.199, 6.640 Å; angles 57.28, 57.28, 28.60 degrees
Each line ends with the local moment (μB).
Positions (direct):
1 Co 0.294 0.294 0.035  1.47
2 Hg 0.930 0.930 0.153  -0.02
3 Hg 0.724 0.724 0.800  -0.01
4 K 0.552 0.552 0.513  -0.02

***

## KCoHg2 (PBE)

Data for KCoHg2 after structural relaxation.

Summary:
* relative energy among the computed polymorphs: 0.0 meV/atom
* ΔE_f: 0.26 eV/atom
* total magnetic moment: 1.068 μB/f.u.
* energy: -1.9409 eV per atom

Cell lengths 8.165, 8.165, 8.165 Å; angles 157.93, 149.50, 37.96 degrees
Each line ends with the local moment (μB).
Positions (direct):
1 Co 0.231 0.731 0.500  1.25
2 Hg 0.087 0.087 0.000  -0.01
3 Hg 0.751 0.251 0.500  -0.04
4 K 0.431 0.431 0.000  -0.01

***

## KCoHg3 (PBE)

Data for KCoHg3 after structural relaxation.

Summary:
* ΔE_f: 0.01 eV/atom
* total magnetic moment: 0.000 μB/f.u.
* energy: -1.8076 eV per atom

Cell lengths 5.130, 5.130, 5.130 Å; angles 90.00, 90.00, 90.00 degrees
Positions (direct):
1 K 0.500 0.500 0.500
2 Co 0.000 0.000 0.000
3 Hg 0.000 0.500 0.000
4 Hg 0.000 0.000 0.500
5 Hg 0.500 0.000 0.000

***

## K3CoHg (PBE)

Data for K3CoHg after structural relaxation.

Summary:
* ΔE_f: 0.72 eV/atom
* total magnetic moment: 2.088 μB/f.u.
* energy: -1.4190 eV per atom

Cell lengths 6.472, 6.472, 6.472 Å; angles 90.00, 90.00, 90.00 degrees
Each line ends with the local moment (μB).
Positions (direct):
1 K 0.000 0.500 0.000  0.00
2 K 0.000 0.000 0.500  0.00
3 K 0.500 0.000 0.000  0.00
4 Co 0.500 0.500 0.500  2.10
5 Hg 0.000 0.000 0.000  0.00

***

## KCoHg2 (PBE)

Data for KCoHg2 after structural relaxation.

Summary:
* relative energy among the computed polymorphs: 242.0 meV/atom
* ΔE_f: 0.50 eV/atom
* total magnetic moment: 1.575 μB/f.u.
* energy: -1.6989 eV per atom

Cell lengths 5.169, 5.169, 5.169 Å; angles 60.00, 60.00, 60.00 degrees
Each line ends with the local moment (μB).
Positions (direct):
1 K 0.000 0.000 0.000  -0.01
2 Co 0.500 0.500 0.500  1.80
3 Hg 0.250 0.250 0.250  -0.02
4 Hg 0.750 0.750 0.750  -0.02

***

Which of these has the highest total magnetic moment?
CoTcHg2Ir

***

Among the records above, which one has the lowest ΔE_f?
Th6Co3HgIr2